A.
VASP calculation (PBE) on a relaxed structure of Hf2PPb.

Cell: 7.8595 7.8595 7.8595 Å, 26.62 26.62 26.62°
Last column: nearest neighbours and their distance in Å.
Positions (direct):
Hf 0.2287 0.2287 0.2287  3 P 2.52
Hf 0.7713 0.7713 0.7713  3 P 2.52
P 0.5000 0.5000 0.5000  6 Hf 2.52
Pb 0.0000 0.0000 0.0000  6 Hf 3.17



B.
VASP calculation (PBE) on a relaxed structure of Hf2PPb.

Cell: 7.8635 7.8635 7.8635 Å, 26.45 26.45 26.45°
Last column: nearest neighbours and their distance in Å.
Positions (direct):
Hf 0.0000 0.0000 0.0000  3 P 2.53
Hf 0.2054 0.2054 0.2054  3 P 2.54
P 0.6029 0.6029 0.6029  6 Hf 2.53-2.54
Pb 0.4349 0.4349 0.4349  6 Hf 3.11-3.14



Least stable: A



A.
VASP calculation (PBE) on a relaxed structure of Hf2PPb.

Cell: 4.8593 4.8593 4.8593 Å, 60.00 60.00 60.00°
Last column: nearest neighbours and their distance in Å.
Positions (direct):
Hf 0.2500 0.2500 0.2500  4 Pb 2.98, 4 P 2.98
Hf 0.7500 0.7500 0.7500  4 Pb 2.98, 4 P 2.98
P 0.0000 0.0000 0.0000  8 Hf 2.98
Pb 0.5000 0.5000 0.5000  8 Hf 2.98



B.
VASP calculation (PBE) on a relaxed structure of Hf2PPb.

Cell: 7.7035 7.7035 7.7035 Å, 133.52 133.52 67.84°
Last column: nearest neighbours and their distance in Å.
Positions (direct):
Hf 0.0718 0.6250 0.9468  2 P 2.51
Hf 0.3750 0.3218 0.4468  2 P 2.51
Hf 0.6782 0.1250 0.0532  2 P 2.51
Hf 0.8750 0.9282 0.5532  2 P 2.51
P 0.0000 0.0000 0.0000  4 Hf 2.51
P 0.7500 0.2500 0.5000  4 Hf 2.51
Pb 0.2500 0.7500 0.5000  4 Hf 2.87
Pb 0.5000 0.5000 0.0000  4 Hf 2.87



Least stable: B



A.
VASP calculation (PBE) on a relaxed structure of HfPPb3.

Cell: 5.3205 5.3205 5.3205 Å, 90.00 90.00 90.00°
Last column: nearest neighbours and their distance in Å.
Positions (direct):
Hf 0.0000 0.0000 0.0000  12 Pb 3.76
P 0.5000 0.5000 0.5000  6 Pb 2.66
Pb 0.0000 0.5000 0.5000  2 P 2.66
Pb 0.5000 0.0000 0.5000  2 P 2.66
Pb 0.5000 0.5000 0.0000  2 P 2.66



B.
VASP calculation (PBE) on a relaxed structure of HfPPb3.

Cell: 5.6195 5.6195 5.6195 Å, 90.00 90.00 90.00°
Last column: nearest neighbours and their distance in Å.
Positions (direct):
Hf 0.0000 0.0000 0.0000  6 Pb 2.81
P 0.5000 0.5000 0.5000  12 Pb 3.97
Pb 0.0000 0.0000 0.5000  2 Hf 2.81
Pb 0.0000 0.5000 0.0000  2 Hf 2.81
Pb 0.5000 0.0000 0.0000  2 Hf 2.81



Least stable: B



A.
VASP calculation (PBE) on a relaxed structure of Hf3PPb.

Cell: 5.2936 5.2936 5.2936 Å, 90.00 90.00 90.00°
Last column: nearest neighbours and their distance in Å.
Positions (direct):
Hf 0.0000 0.0000 0.5000  2 Pb 2.65
Hf 0.0000 0.5000 0.0000  2 Pb 2.65
Hf 0.5000 0.0000 0.0000  2 Pb 2.65
P 0.5000 0.5000 0.5000  12 Hf 3.74
Pb 0.0000 0.0000 0.0000  6 Hf 2.65



B.
VASP calculation (PBE) on a relaxed structure of Hf3PPb.

Cell: 8.0272 8.0272 9.6387 Å, 121.62 121.62 24.76°
Last column: nearest neighbours and their distance in Å.
Positions (direct):
Hf 0.0486 0.0486 0.2229  2 P 2.58
Hf 0.2511 0.2511 0.6343  3 P 2.61-2.78
Hf 0.4073 0.4073 0.2896  2 P 2.58-2.66
Hf 0.5927 0.5927 0.7104  2 P 2.58-2.66
Hf 0.7489 0.7489 0.3657  3 P 2.61-2.78
Hf 0.9514 0.9514 0.7771  2 P 2.58
P 0.3921 0.3921 0.5433  7 Hf 2.58-2.78
P 0.6079 0.6079 0.4567  7 Hf 2.58-2.78
Pb 0.1663 0.1663 0.0489  7 Hf 2.96-3.30
Pb 0.8337 0.8337 0.9511  7 Hf 2.96-3.30



Least stable: A



A.
VASP calculation (PBE) on a relaxed structure of HfP3Pb.

Cell: 5.0075 5.0075 5.0075 Å, 90.00 90.00 90.00°
Last column: nearest neighbours and their distance in Å.
Positions (direct):
Hf 0.0000 0.0000 0.0000  6 P 2.50
P 0.0000 0.0000 0.5000  2 Hf 2.50
P 0.0000 0.5000 0.0000  2 Hf 2.50
P 0.5000 0.0000 0.0000  2 Hf 2.50
Pb 0.5000 0.5000 0.5000  12 P 3.54



B.
VASP calculation (PBE) on a relaxed structure of HfP3Pb.

Cell: 4.9913 4.9913 4.9913 Å, 90.00 90.00 90.00°
Last column: nearest neighbours and their distance in Å.
Positions (direct):
Hf 0.0000 0.0000 0.0000  12 P 3.53
P 0.0000 0.5000 0.5000  2 Pb 2.50
P 0.5000 0.0000 0.5000  2 Pb 2.50
P 0.5000 0.5000 0.0000  2 Pb 2.50
Pb 0.5000 0.5000 0.5000  6 P 2.50



Least stable: B



A.
VASP calculation (PBE) on a relaxed structure of HfPPbS2.

Cell: 4.9328 4.9328 5.0855 Å, 90.00 90.00 90.00°
Last column: nearest neighbours and their distance in Å.
Positions (direct):
Hf 0.0000 0.0000 0.0000  4 S 2.47, 2 P 2.54
P 0.0000 0.0000 0.5000  2 Hf 2.54
Pb 0.5000 0.5000 0.5000  4 P 3.49, 8 S 3.54
S 0.0000 0.5000 0.0000  2 Hf 2.47
S 0.5000 0.0000 0.0000  2 Hf 2.47



B.
VASP calculation (PBE) on a relaxed structure of HfPPbS2.

Cell: 5.0299 5.0299 5.0663 Å, 90.00 90.00 90.00°
Last column: nearest neighbours and their distance in Å.
Positions (direct):
Hf 0.0000 0.0000 0.0000  4 P 3.56, 8 S 3.57
P 0.5000 0.5000 0.0000  2 Pb 2.53
Pb 0.5000 0.5000 0.5000  4 S 2.51, 2 P 2.53
S 0.0000 0.5000 0.5000  2 Pb 2.51
S 0.5000 0.0000 0.5000  2 Pb 2.51



Least stable: B



A.
VASP calculation (PBE) on a relaxed structure of HfPPd3.

Cell: 4.8503 4.8503 4.8503 Å, 90.00 90.00 90.00°
Last column: nearest neighbours and their distance in Å.
Positions (direct):
Hf 0.0000 0.0000 0.0000  6 Pd 2.43
P 0.5000 0.5000 0.5000  12 Pd 3.43
Pd 0.0000 0.0000 0.5000  2 Hf 2.43
Pd 0.0000 0.5000 0.0000  2 Hf 2.43
Pd 0.5000 0.0000 0.0000  2 Hf 2.43



B.
VASP calculation (PBE) on a relaxed structure of HfPPd3.

Cell: 4.4883 4.4883 4.4883 Å, 90.00 90.00 90.00°
Last column: nearest neighbours and their distance in Å.
Positions (direct):
Hf 0.0000 0.0000 0.0000  12 Pd 3.17
P 0.5000 0.5000 0.5000  6 Pd 2.24
Pd 0.0000 0.5000 0.5000  2 P 2.24
Pd 0.5000 0.0000 0.5000  2 P 2.24
Pd 0.5000 0.5000 0.0000  2 P 2.24



Least stable: A



A.
VASP calculation (PBE) on a relaxed structure of HfP2Pd.

Cell: 4.4660 4.4660 4.4660 Å, 60.00 60.00 60.00°
Last column: nearest neighbours and their distance in Å.
Positions (direct):
Hf 0.0000 0.0000 0.0000  8 P 2.73
P 0.2500 0.2500 0.2500  4 Hf 2.73, 4 Pd 2.73
P 0.7500 0.7500 0.7500  4 Hf 2.73, 4 Pd 2.73
Pd 0.5000 0.5000 0.5000  8 P 2.73



B.
VASP calculation (PBE) on a relaxed structure of HfP2Pd.

Cell: 8.2153 8.2153 8.2153 Å, 148.74 148.74 44.80°
Last column: nearest neighbours and their distance in Å.
Positions (direct):
Hf 0.0000 0.0000 0.0000  4 P 2.55
Hf 0.7500 0.2500 0.5000  4 P 2.55
P 0.1685 0.6250 0.0435  2 Pd 2.38, 2 Hf 2.55
P 0.3750 0.4185 0.5435  2 Pd 2.38, 2 Hf 2.55
P 0.5815 0.1250 0.9565  2 Pd 2.38, 2 Hf 2.55
P 0.8750 0.8315 0.4565  2 Pd 2.38, 2 Hf 2.55
Pd 0.2500 0.7500 0.5000  4 P 2.38
Pd 0.5000 0.5000 0.0000  4 P 2.38



Least stable: B